First-principles (PBE with a Hubbard U) data for a relaxed CaVFeO4 crystal, as listed in Alexandria.

The structure in CIF format:
```
data_CaVFeO4
_cell_length_a 5.541
_cell_length_b 5.737
_cell_length_c 6.208
_cell_angle_alpha 90.00
_cell_angle_beta 104.68
_cell_angle_gamma 90.00
_symmetry_space_group_name_H-M 'P 1'
_symmetry_Int_Tables_number 1
loop_
_symmetry_equiv_pos_as_xyz
'x,y,z'
loop_
_atom_site_label
_atom_site_type_symbol
_atom_site_fract_x
_atom_site_fract_y
_atom_site_fract_z
O1 O 0.532 0.750 0.589
Fe1 Fe 0.885 0.750 0.497
O2 O 0.043 0.970 0.283
V1 V 0.685 0.250 0.676
O3 O 0.587 0.250 0.920
O4 O 0.413 0.750 0.080
V2 V 0.315 0.750 0.324
O5 O 0.468 0.250 0.411
Ca1 Ca 0.769 0.750 0.961
Fe2 Fe 0.115 0.250 0.503
O6 O 0.043 0.530 0.283
O7 O 0.957 0.470 0.717
O8 O 0.957 0.030 0.717
Ca2 Ca 0.231 0.250 0.039
```

Results
D(E_F): 0.00 states/eV/cell
VASP energy: -98.13 eV for the cell shown